[1]
{
  "formula": "PrUC2",
  "functional": "PBE-GGA",
  "state": "optimized geometry",
  "sg": "Pmmn (59)",
  "e_above_lowest_polymorph_ev_per_atom": 0.055,
  "lattice": [[3.5014, 0.0000, 0.0000], [0.0000, 6.1494, 0.0000], [0.0000, 0.0000, 6.1891]],
  "species": ["Pr", "Pr", "U", "U", "C", "C", "C", "C"],
  "fractional_positions": [[0.2500, 0.2500, 0.0894], [0.7500, 0.7500, 0.9106], [0.2500, 0.7500, 0.4197], [0.7500, 0.2500, 0.5803], [0.2500, 0.0086, 0.6983], [0.2500, 0.4914, 0.6983], [0.7500, 0.5086, 0.3017], [0.7500, 0.9914, 0.3017]]
}



[2]
{
  "formula": "Pr2UC",
  "functional": "PBE-GGA",
  "state": "optimized geometry",
  "sg": "R-3m (166)",
  "lattice": [[1.7599, 1.0161, 9.8410], [-1.7599, 1.0161, 9.8410], [0.0000, -2.0322, 9.8410]],
  "species": ["Pr", "Pr", "U", "C"],
  "fractional_positions": [[0.1167, 0.1167, 0.1167], [0.8833, 0.8833, 0.8833], [0.0000, 0.0000, 0.0000], [0.5000, 0.5000, 0.5000]]
}



[3]
{
  "formula": "PrUC2",
  "functional": "PBE-GGA",
  "state": "optimized geometry",
  "sg": "I4_1/amd (141)",
  "e_above_lowest_polymorph_ev_per_atom": 0.071,
  "lattice": [[-2.6236, 2.6236, 5.0049], [2.6236, -2.6236, 5.0049], [2.6236, 2.6236, -5.0049]],
  "species": ["Pr", "Pr", "U", "U", "C", "C", "C", "C"],
  "fractional_positions": [[0.3750, 0.6250, 0.7500], [0.6250, 0.3750, 0.2500], [0.1250, 0.8750, 0.2500], [0.8750, 0.1250, 0.7500], [0.0924, 0.3424, 0.7500], [0.3424, 0.0924, 0.2500], [0.6576, 0.9076, 0.7500], [0.9076, 0.6576, 0.2500]]
}



[4]
{
  "formula": "PrUC",
  "functional": "PBE-GGA",
  "state": "optimized geometry",
  "sg": "I4mm (107)",
  "e_above_lowest_polymorph_ev_per_atom": 0.271,
  "lattice": [[-1.5719, 1.5719, 6.1521], [1.5719, -1.5719, 6.1521], [1.5719, 1.5719, -6.1521]],
  "species": ["Pr", "U", "C"],
  "fractional_positions": [[0.0000, 0.0000, 0.0000], [0.7519, 0.7519, 0.0000], [0.3250, 0.3250, 0.0000]]
}



[5]
{
  "formula": "PrUC",
  "functional": "PBE-GGA",
  "state": "optimized geometry",
  "sg": "P3m1 (156)",
  "e_above_lowest_polymorph_ev_per_atom": 0.000,
  "lattice": [[3.4631, 0.0000, 0.0000], [-1.7316, 2.9992, 0.0000], [0.0000, 0.0000, 6.4582]],
  "species": ["Pr", "U", "C"],
  "fractional_positions": [[0.0000, 0.0000, 0.0000], [0.6667, 0.3333, 0.4577], [0.3333, 0.6667, 0.2673]]
}



[6]
{
  "formula": "PrUC2",
  "functional": "PBE-GGA",
  "state": "optimized geometry",
  "sg": "R-3m (166)",
  "e_above_lowest_polymorph_ev_per_atom": 0.000,
  "lattice": [[1.8189, 1.0502, 5.9388], [-1.8189, 1.0502, 5.9388], [0.0000, -2.1003, 5.9388]],
  "species": ["Pr", "U", "C", "C"],
  "fractional_positions": [[0.0000, 0.0000, 0.0000], [0.5000, 0.5000, 0.5000], [0.2302, 0.2302, 0.2302], [0.7698, 0.7698, 0.7698]]
}



[7]
{
  "formula": "PrUC",
  "functional": "PBE-GGA",
  "state": "optimized geometry",
  "sg": "Cmcm (63)",
  "e_above_lowest_polymorph_ev_per_atom": 0.162,
  "lattice": [[1.5766, -6.6573, 0.0000], [1.5766, 6.6573, 0.0000], [0.0000, 0.0000, 5.9885]],
  "species": ["Pr", "Pr", "U", "U", "C", "C"],
  "fractional_positions": [[0.1722, 0.8278, 0.7500], [0.8278, 0.1722, 0.2500], [0.0710, 0.9290, 0.2500], [0.9290, 0.0710, 0.7500], [0.5000, 0.5000, 0.0000], [0.5000, 0.5000, 0.5000]]
}



[8]
{
  "formula": "PrVC",
  "functional": "PBE-GGA",
  "state": "optimized geometry",
  "sg": "Immm (71)",
  "e_above_lowest_polymorph_ev_per_atom": 0.229,
  "lattice": [[-1.9429, 2.0910, 6.7944], [1.9429, -2.0910, 6.7944], [1.9429, 2.0910, -6.7944]],
  "species": ["Pr", "Pr", "V", "V", "C", "C"],
  "fractional_positions": [[0.1660, 0.1660, 0.0000], [0.8340, 0.8340, 0.0000], [0.2584, 0.5000, 0.7584], [0.7416, 0.5000, 0.2416], [0.3635, 0.3635, 0.0000], [0.6365, 0.6365, 0.0000]]
}



[9]
{
  "formula": "PrVC",
  "functional": "PBE-GGA",
  "state": "optimized geometry",
  "sg": "P-6m2 (187)",
  "e_above_lowest_polymorph_ev_per_atom": 0.000,
  "lattice": [[3.5609, 0.0000, 0.0000], [-1.7805, 3.0839, 0.0000], [0.0000, 0.0000, 4.7102]],
  "species": ["Pr", "V", "C"],
  "fractional_positions": [[0.0000, 0.0000, 0.0000], [0.3333, 0.6667, 0.5000], [0.6667, 0.3333, 0.5000]]
}



[10]
{
  "formula": "PrWC2",
  "functional": "PBE-GGA",
  "state": "optimized geometry",
  "sg": "C2 (5)",
  "e_above_lowest_polymorph_ev_per_atom": 0.184,
  "lattice": [[2.2920, -2.2917, 0.0000], [2.2920, 2.2917, 0.0000], [-2.2788, 0.0000, 5.8152]],
  "species": ["Pr", "W", "C", "C"],
  "fractional_positions": [[0.0000, 0.0000, 0.0000], [0.2476, 0.7524, 0.5000], [0.3514, 0.3563, 0.7093], [0.6437, 0.6486, 0.2907]]
}



[11]
{
  "formula": "PrWC",
  "functional": "PBE-GGA",
  "state": "optimized geometry",
  "sg": "P4/nmm (129)",
  "lattice": [[3.6190, 0.0000, 0.0000], [0.0000, 3.6190, 0.0000], [0.0000, 0.0000, 9.0200]],
  "species": ["Pr", "Pr", "W", "W", "C", "C"],
  "fractional_positions": [[0.2500, 0.2500, 0.1944], [0.7500, 0.7500, 0.8056], [0.2500, 0.7500, 0.5000], [0.7500, 0.2500, 0.5000], [0.2500, 0.2500, 0.6594], [0.7500, 0.7500, 0.3406]]
}



[12]
{
  "formula": "PrWC2",
  "functional": "PBE-GGA",
  "state": "optimized geometry",
  "sg": "R-3m (166)",
  "e_above_lowest_polymorph_ev_per_atom": 0.000,
  "lattice": [[1.6512, 0.9533, 5.8123], [-1.6512, 0.9533, 5.8123], [0.0000, -1.9066, 5.8123]],
  "species": ["Pr", "W", "C", "C"],
  "fractional_positions": [[0.0000, 0.0000, 0.0000], [0.5000, 0.5000, 0.5000], [0.2318, 0.2318, 0.2318], [0.7682, 0.7682, 0.7682]]
}



| no. | ΔE_f (eV per formula unit) | DOS at the Fermi energy (states/eV/cell) |
| --- | --- | --- |
| 1 | -0.285 | 6.17 |
| 2 | 1.945 | 6.38 |
| 3 | -0.222 | 7.04 |
| 4 | 1.185 | 5.16 |
| 5 | 0.372 | 4.98 |
| 6 | -0.506 | 2.92 |
| 7 | 0.857 | 11.01 |
| 8 | 1.296 | 6.15 |
| 9 | 0.609 | 1.74 |
| 10 | 1.216 | 2.59 |
| 11 | 0.702 | 3.45 |
| 12 | 0.478 | 2.01 |